No. 1
An optimized crystal structure of Ba2SbPb. Source: the Alexandria database, functional PBEsol.

Structure (POSCAR):
```
Ba2SbPb
1.0
4.8317 0.0000 0.0000
0.0000 5.4375 0.0000
0.0000 0.0000 5.4369
Pb Ba Sb
1 2 1
Direct
0.5000 0.3750 0.0000
0.0000 0.8751 0.0000
0.0000 0.3751 0.5000
0.5000 0.8748 0.5000
```

## Properties
Excess energy over the best structure of this formula in the dataset = 0.10 eV per formula unit
VASP energy = -15.7 eV per cell
Total moment = 0.000 μB per atom
Space-group type = No. 123
Formation energy from raw total energies = -0.715 eV/atom

***

No. 2
An optimized crystal structure of BaTaBe2. Source: the Alexandria database, functional PBEsol.

Structure (POSCAR):
```
BaTaBe2
1.0
-0.0291 -3.3759 -0.6693
0.9045 0.7347 -3.7452
5.3664 1.0049 3.5470
Be Ta Ba
2 1 1
Direct
0.0406 0.0406 0.0812
0.6387 0.1387 0.2775
0.5284 0.5284 0.0568
0.2922 0.7922 0.5845
```

## Properties
Excess energy over the best structure of this formula in the dataset = 0.00 eV per formula unit
VASP energy = -20.2 eV per cell
Total moment = 0.000 μB per atom
Space-group type = No. 44

***

No. 3
An optimized crystal structure of Fe2NiIr. Source: the Alexandria database, functional PBEsol.

Structure (POSCAR):
```
Fe2NiIr
1.0
-0.6778 -2.4734 0.3631
1.8099 -1.8529 -0.0042
1.3417 -0.5185 8.2116
Fe Ni Ir
2 1 1
Direct
0.2532 0.2532 0.2403
0.7468 0.7468 0.7597
0.0000 0.0000 0.0000
0.5000 0.5000 0.5000
```

## Properties
VASP energy = -33.6 eV per cell
Total moment = 1.369 μB per atom
Space-group type = No. 166